1.
A plane-wave DFT calculation with PBE-GGA was carried out for a relaxed structure of CuAgHgSe2.

Lattice parameters (Å, degrees): 6.540 6.724 5.502 87.61 90.00 90.00
Fractional coordinates of all 10 atoms:
Ag 0.390 0.000 0.750
Ag 0.610 0.000 0.250
Cu 0.000 0.000 0.000
Cu 0.000 0.000 0.500
Se 0.247 0.236 0.095
Se 0.753 0.764 0.905
Se 0.753 0.236 0.595
Se 0.247 0.764 0.405
Hg 0.234 0.500 0.750
Hg 0.766 0.500 0.250

space group: No. 13
magnetic moment: 0.0 Bohr magnetons per cell
energy relative to the elements, uncorrected: -0.11 eV per atom
DFT total energy: -2.953 eV/atom

---

2.
A plane-wave DFT calculation with PBE-GGA was carried out for a relaxed structure of CuAg2Hg2Se2.

Lattice parameters (Å, degrees): 4.539 5.556 8.100 54.86 73.83 90.25
Fractional coordinates of all 7 atoms:
Ag 0.214 0.647 0.580
Ag 0.786 0.353 0.420
Hg 0.559 0.361 0.890
Hg 0.441 0.639 0.110
Cu 0.000 0.000 0.000
Se 0.839 0.928 0.331
Se 0.161 0.072 0.669

space group: No. 2
magnetic moment: 0.0 Bohr magnetons per cell
energy relative to the elements, uncorrected: -0.03 eV per atom
DFT total energy: -2.512 eV/atom

---

3.
A plane-wave DFT calculation with PBE-GGA was carried out for a relaxed structure of CuSiAgHg2.

Lattice parameters (Å, degrees): 5.084 4.418 5.084 90.00 90.00 90.00
Fractional coordinates of all 5 atoms:
Cu 0.000 0.000 0.000
Hg 0.500 0.000 0.000
Hg 0.000 0.000 0.500
Ag 0.500 0.500 0.500
Si 0.000 0.500 0.000

space group: No. 123
magnetic moment: 0.0 Bohr magnetons per cell
energy relative to the elements, uncorrected: 0.47 eV per atom
DFT total energy: -2.121 eV/atom

---

4.
A plane-wave DFT calculation with PBE-GGA was carried out for a relaxed structure of Sm4CuAgHg2.

Lattice parameters (Å, degrees): 5.264 5.264 9.122 73.23 73.23 60.00
Fractional coordinates of all 8 atoms:
Cu 0.500 0.500 0.500
Sm 0.128 0.128 0.615
Sm 0.379 0.379 0.864
Sm 0.621 0.621 0.136
Sm 0.872 0.872 0.385
Hg 0.252 0.252 0.243
Hg 0.748 0.748 0.757
Ag 0.000 0.000 0.000

space group: No. 166
formation enthalpy at 0 K: -0.3372 eV/atom
magnetic moment: 0.0 Bohr magnetons per cell
DFT total energy: -3.641 eV/atom

---

5.
A plane-wave DFT calculation with PBE-GGA was carried out for a relaxed structure of SrCuAgHg2.

Lattice parameters (Å, degrees): 5.075 5.075 5.065 90.00 90.00 90.00
Fractional coordinates of all 5 atoms:
Ag 0.000 0.000 0.500
Hg 0.000 0.500 0.000
Hg 0.500 0.000 0.000
Cu 0.000 0.000 0.000
Sr 0.500 0.500 0.500

space group: No. 123
formation enthalpy at 0 K: -0.1113 eV/atom
magnetic moment: 0.0 Bohr magnetons per cell
DFT total energy: -1.958 eV/atom

---

6.
A plane-wave DFT calculation with PBE-GGA was carried out for a relaxed structure of Tb4CuAgHg2.

Lattice parameters (Å, degrees): 5.182 5.182 8.968 73.21 73.21 60.00
Fractional coordinates of all 8 atoms:
Tb 0.622 0.622 0.135
Tb 0.872 0.872 0.385
Tb 0.378 0.378 0.865
Tb 0.128 0.128 0.615
Hg 0.252 0.252 0.243
Hg 0.748 0.748 0.757
Ag 0.000 0.000 0.000
Cu 0.500 0.500 0.500

space group: No. 166
formation enthalpy at 0 K: -0.3645 eV/atom
magnetic moment: 0.0 Bohr magnetons per cell
DFT total energy: -3.624 eV/atom